KErAg2Cl8 after structural relaxation. Source: Alexandria via LeMat-Bulk, functional PBE.

Cell and atoms, written as POSCAR:
```
KErAg2Cl8
1.0
-3.356 3.356 7.190
3.356 -3.356 7.190
3.356 3.356 -7.190
K Er Ag Cl
1 1 2 8
Direct
0.000 0.000 0.000 K
0.250 0.750 0.500 Er
0.500 0.500 0.000 Ag
0.750 0.250 0.500 Ag
0.270 0.703 0.155 Cl
0.297 0.453 0.567 Cl
0.394 0.010 0.026 Cl
0.547 0.114 0.845 Cl
0.632 0.606 0.616 Cl
0.886 0.730 0.433 Cl
0.984 0.368 0.974 Cl
0.990 0.016 0.384 Cl
```

Values from the calculation:
Spin magnetization   0.00 μB/f.u.
Formation energy from raw total energies   -26.70 kcal/mol of atoms
Total energy   -0.123 hartree per atom